<one>
Computed, not measured: a relaxed structure of BeSe2Cl at the PBEsol level of DFT.

Output
* theoretical density: 4.29 Mg/m³
* space-group type: R-3m

Cell lengths 3.021, 3.021, 29.776 Å; angles 90.00, 90.00, 120.00 degrees
Sites, in units of the cell vectors:
Be (0.000, 0.000, 0.000)
Be (0.333, 0.667, 0.667)
Be (0.667, 0.333, 0.333)
Se (0.000, 0.000, 0.069)
Se (0.000, 0.000, 0.931)
Se (0.333, 0.667, 0.598)
Se (0.333, 0.667, 0.736)
Se (0.667, 0.333, 0.264)
Se (0.667, 0.333, 0.402)
Cl (0.000, 0.000, 0.500)
Cl (0.333, 0.667, 0.167)
Cl (0.667, 0.333, 0.833)

---

<two>
Computed, not measured: a relaxed structure of BeSe2Cl at the PBEsol level of DFT.

Output
* theoretical density: 4.84 Mg/m³
* space-group type: P4/mmm

Cell lengths 4.883, 4.883, 2.911 Å; angles 90.00, 90.00, 90.00 degrees
Sites, in units of the cell vectors:
Be (0.000, 0.000, 0.000)
Se (0.000, 0.500, 0.500)
Se (0.500, 0.000, 0.500)
Cl (0.500, 0.500, 0.000)

---

<one> ends up most stable, edging out the next structure by 302 meV per atom.

---

<one>
Computed, not measured: a relaxed structure of Be2SiCl at the PBEsol level of DFT.

Output
* theoretical density: 2.56 Mg/m³
* space-group type: P4/mmm

Cell lengths 4.471, 4.471, 2.650 Å; angles 90.00, 90.00, 90.00 degrees
Sites, in units of the cell vectors:
Be (0.000, 0.500, 0.000)
Be (0.500, 0.000, 0.000)
Si (0.000, 0.000, 0.500)
Cl (0.500, 0.500, 0.500)

---

<two>
Computed, not measured: a relaxed structure of Be2SiCl at the PBEsol level of DFT.

Output
* theoretical density: 2.51 Mg/m³
* space-group type: Pmm2

Cell lengths 2.877, 3.845, 4.874 Å; angles 90.00, 90.00, 90.00 degrees
Sites, in units of the cell vectors:
Be (0.000, 0.000, 0.000)
Be (0.500, 0.500, 0.421)
Si (0.500, 0.500, 0.905)
Cl (0.000, 0.000, 0.416)

---

<two> ends up most stable, edging out the next structure by 329 meV per atom.